Entry 1:
The following is a PBE-GGA calculation of a relaxed structure of KCa2Si, from the Alexandria database.

a b c (Å): 4.430 3.932 9.352
angles (deg): 77.89 90.00 90.00
Positions (direct):
Ca 0.000 0.980 0.913
Ca 0.500 0.346 0.181
K 0.000 0.667 0.547
Si 0.500 0.506 0.860

Summary:
- ρ (g/cm³) = 1.5
- SG = No. 6
- formation energy (no corrections) (eV per atom) = 0.0002
- D(E_F) (states/eV per cell) = 2.443
- M_tot (μB per formula unit) = 0.001

=====

Entry 2:
The following is a PBE-GGA calculation of a relaxed structure of KCaSi3, from the Alexandria database.

a b c (Å): 5.315 5.315 5.315
angles (deg): 90.00 90.00 90.00
Positions (direct):
Ca 0.500 0.500 0.500
Si 0.000 0.500 0.000
Si 0.000 0.000 0.500
Si 0.500 0.000 0.000
K 0.000 0.000 0.000

Summary:
- ρ (g/cm³) = 1.8
- SG = No. 221
- formation energy (no corrections) (eV per atom) = 1.4249
- energy above the most stable polymorph in this dataset (meV/atom) = 437
- D(E_F) (states/eV per cell) = 4.109
- M_tot (μB per formula unit) = 0.000

=====

Entry 3:
The following is a PBE-GGA calculation of a relaxed structure of KCaSi, from the Alexandria database.

a b c (Å): 5.338 5.338 5.338
angles (deg): 60.00 60.00 60.00
Positions (direct):
Ca 0.000 0.000 0.000
K 0.500 0.500 0.500
Si 0.750 0.750 0.750

Summary:
- ρ (g/cm³) = 1.7
- SG = No. 216
- formation energy (no corrections) (eV per atom) = 0.1716
- energy above the most stable polymorph in this dataset (meV/atom) = 172
- D(E_F) (states/eV per cell) = 3.366
- M_tot (μB per formula unit) = 1.017

=====

Entry 4:
The following is a PBE-GGA calculation of a relaxed structure of KCaSi, from the Alexandria database.

a b c (Å): 8.123 8.123 3.717
angles (deg): 76.77 76.77 26.45
Positions (direct):
Ca 0.053 0.053 0.947
K 0.298 0.298 0.702
Si 0.650 0.650 0.350

Summary:
- ρ (g/cm³) = 1.7
- SG = No. 107
- formation energy (no corrections) (eV per atom) = 0.0613
- energy above the most stable polymorph in this dataset (meV/atom) = 62
- D(E_F) (states/eV per cell) = 1.726
- M_tot (μB per formula unit) = 0.000

=====

Entry 5:
The following is a PBE-GGA calculation of a relaxed structure of KCa2Si, from the Alexandria database.

a b c (Å): 9.400 9.400 9.400
angles (deg): 157.79 150.09 37.57
Positions (direct):
Ca 0.100 0.100 0.000
Ca 0.748 0.248 0.500
K 0.415 0.415 0.000
Si 0.236 0.736 0.500

Summary:
- ρ (g/cm³) = 1.6
- SG = No. 44
- formation energy (no corrections) (eV per atom) = -0.0490
- D(E_F) (states/eV per cell) = 2.274
- M_tot (μB per formula unit) = 0.000

=====

Entry 6:
The following is a PBE-GGA calculation of a relaxed structure of K2CaSi, from the Alexandria database.

a b c (Å): 12.974 12.974 12.974
angles (deg): 17.25 17.25 17.25
Positions (direct):
Ca 0.250 0.250 0.250
K 0.017 0.017 0.017
K 0.483 0.483 0.483
Si 0.750 0.750 0.750

Summary:
- ρ (g/cm³) = 1.4
- SG = No. 166
- formation energy (no corrections) (eV per atom) = 0.4908
- D(E_F) (states/eV per cell) = 3.620
- M_tot (μB per formula unit) = 0.391

=====

Entry 7:
The following is a PBE-GGA calculation of a relaxed structure of K2CaSi, from the Alexandria database.

a b c (Å): 3.762 3.762 11.538
angles (deg): 90.00 90.00 90.00
Positions (direct):
Ca 0.500 0.500 0.750
K 0.000 0.000 0.064
K 0.000 0.000 0.436
Si 0.500 0.500 0.250

Summary:
- ρ (g/cm³) = 1.5
- SG = No. 123
- formation energy (no corrections) (eV per atom) = 0.4379
- D(E_F) (states/eV per cell) = 3.468
- M_tot (μB per formula unit) = 0.291

=====

Entry 8:
The following is a PBE-GGA calculation of a relaxed structure of KCa2Si2, from the Alexandria database.

a b c (Å): 8.257 8.257 4.126
angles (deg): 90.00 90.00 90.00
Positions (direct):
Ca 0.171 0.671 0.500
Ca 0.671 0.829 0.500
Ca 0.829 0.329 0.500
Ca 0.329 0.171 0.500
Si 0.397 0.897 0.000
Si 0.897 0.603 0.000
Si 0.603 0.103 0.000
Si 0.103 0.397 0.000
K 0.000 0.000 0.000
K 0.500 0.500 0.000

Summary:
- ρ (g/cm³) = 2.1
- SG = No. 127
- formation energy (no corrections) (eV per atom) = -0.1659
- energy above the most stable polymorph in this dataset (meV/atom) = 0
- D(E_F) (states/eV per cell) = 4.253
- M_tot (μB per formula unit) = 0.000

=====

Question: Look up the D(E_F) of the first one.
Answer: 2.443 states/eV per cell